(1)
# Co2AgPt

Co2AgPt after structural relaxation (PBE, Alexandria via LeMat-Bulk).

The space group is P4mm (No. 99) and the conventional cell measures 2.7367, 2.7367 and 7.4387 Å, with angles of 90.00, 90.00 and 90.00 degrees. The asymmetric unit holds Co at (0.0000, 0.0000, 0.0000), Co at (0.5000, 0.5000, 0.1928), Ag at (0.5000, 0.5000, 0.7306) and Pt at (0.0000, 0.0000, 0.4362).

The density of states at the Fermi level is 4.45 states/eV/f.u. The magnetic moment is 3.711 μB/cell. The calculation puts the calculated density at 12543 kg/m3. The energy of formation from the pure elements comes out at 2.4 kcal/mol of atoms.

=====

(2)
# AsIr2ClF

AsIr2ClF after structural relaxation (PBE, Alexandria via LeMat-Bulk).

The space group is P4/mmm (No. 123) and the conventional cell measures 4.6894, 4.6894 and 4.1521 Å, with angles of 90.00, 90.00 and 90.00 degrees. The asymmetric unit holds As at (0.0000, 0.0000, 0.0000), Ir at (0.0000, 0.5000, 0.0000), Cl at (0.5000, 0.5000, 0.5000) and F at (0.0000, 0.0000, 0.5000).

The density of states at the Fermi level is 5.53 states/eV/f.u. The magnetic moment is 1.479 μB/cell. The calculation puts the calculated density at 9344 kg/m3. The uncorrected formation energy is 0.55 eV/atom.

=====

(3)
# Tm2Si4Ir3

Tm2Si4Ir3 after structural relaxation (PBE, Alexandria via LeMat-Bulk).

The space group is Cmce (No. 64) and the conventional cell measures 5.5851, 14.5865 and 7.1417 Å, with angles of 90.00, 90.00 and 90.00 degrees. The asymmetric unit holds Tm at (0.0000, 0.1059, 0.0944), Si at (0.0000, 0.1795, 0.4750), Si at (0.2500, 0.0626, 0.7500), Ir at (0.0000, 0.0000, 0.5000) and Ir at (0.2500, 0.2298, 0.7500).

The density of states at the Fermi level is 3.19 states/eV/f.u. The magnetic moment is 0.000 μB/cell. The calculation puts the energy above the lowest structure with this stoichiometry at 0.00 eV per formula unit. The calculation puts the calculated density at 11723 kg/m3. The uncorrected formation energy is -0.95 eV/atom.

=====

(4)
# LiNdIn2

LiNdIn2 after structural relaxation (PBE, Alexandria via LeMat-Bulk).

The space group is P4/mmm (No. 123) and the conventional cell measures 4.8487, 4.8487 and 4.3633 Å, with angles of 90.00, 90.00 and 90.00 degrees. The asymmetric unit holds Li at (0.0000, 0.0000, 0.0000), Nd at (0.5000, 0.5000, 0.0000) and In at (0.0000, 0.5000, 0.5000).

The density of states at the Fermi level is 1.49 states/eV/f.u. The magnetic moment is 0.000 μB/cell. The calculation puts the calculated density at 6165 kg/m3. The energy of formation from the pure elements comes out at -8.8 kcal/mol of atoms.

=====

(5)
# LaGd2Ho

LaGd2Ho after structural relaxation (PBE, Alexandria via LeMat-Bulk).

The space group is Fm-3m (No. 225) and the conventional cell measures 8.1244, 8.1244 and 8.1244 Å, with angles of 90.00, 90.00 and 90.00 degrees. The asymmetric unit holds La at (0.0000, 0.0000, 0.0000), Gd at (0.2500, 0.2500, 0.2500) and Ho at (0.0000, 0.0000, 0.5000).

The density of states at the Fermi level is 7.19 states/eV/f.u. The magnetic moment is 65.534 μB/cell. The calculation puts the energy above the lowest structure with this stoichiometry at 0.29 eV per formula unit. The calculation puts the calculated density at 7659 kg/m3. The energy of formation from the pure elements comes out at 2.3 kcal/mol of atoms.

=====

(6)
# LaHoHgAu

LaHoHgAu after structural relaxation (PBE, Alexandria via LeMat-Bulk).

The space group is P4mm (No. 99) and the conventional cell measures 3.7032, 3.7032 and 7.6450 Å, with angles of 90.00, 90.00 and 90.00 degrees. The asymmetric unit holds La at (0.0000, 0.0000, 0.0000), Ho at (0.0000, 0.0000, 0.4758), Hg at (0.5000, 0.5000, 0.7184) and Au at (0.5000, 0.5000, 0.2733).

The density of states at the Fermi level is 4.32 states/eV/f.u. The magnetic moment is 0.172 μB/cell. The calculation puts the energy above the lowest structure with this stoichiometry at 0.00 eV per formula unit. The calculation puts the calculated density at 11109 kg/m3. The energy of formation from the pure elements comes out at -15.2 kcal/mol of atoms.